# Ca2MoW PBE relaxed
# - N(E_F) (states/eV/cell) = 15.466
# - ΔH_f (0 K) (kJ/mol of atoms) = 84.0
# - DFT total energy (eV per formula unit) = -24.3
data_Ca2MoW
_space_group_name_H-M_alt 'F -4 3 m'
_space_group_IT_number 216
_space_group_name_Hall 'F -4 2 3'
_cell_length_a 6.915
_cell_length_b 6.915
_cell_length_c 6.915
_cell_angle_alpha 90.00
_cell_angle_beta 90.00
_cell_angle_gamma 90.00
loop_
_atom_site_label
_atom_site_type_symbol
_atom_site_fract_x
_atom_site_fract_y
_atom_site_fract_z
Ca1 Ca 0.000 0.000 0.000
Ca2 Ca 0.250 0.250 0.250
Mo1 Mo 0.250 0.250 0.750
W1 W 0.000 0.000 0.500